No. 1
Material: Cs3As
Method: DFT, PBE-GGA
State: relaxed

The uncorrected energy is -49.57 eV per cell. For the magnetic moment, the calculation gives 0.000 μB per atom.

The space group is P6_3cm (No. 185) and the conventional cell measures 11.0422, 11.0422 and 11.4015 Å, with angles of 90.00, 90.00 and 120.00 degrees. The inequivalent atoms are Cs at (0.0000, 0.0000, 0.2372), Cs at (0.0000, 0.2879, 0.0000), Cs at (0.0000, 0.3725, 0.3346), Cs at (0.3333, 0.6667, 0.1246) and As at (0.0000, 0.3273, 0.6668).

---

No. 2
Material: Cs3As
Method: DFT, PBE-GGA
State: relaxed

The uncorrected energy is -7.49 eV per cell. For the magnetic moment, the calculation gives 0.077 μB per atom.

The space group is P4mm (No. 99) and the conventional cell measures 5.742, 5.742 and 5.740 Å, with angles of 90.00, 90.00 and 90.00 degrees. The inequivalent atoms are Cs at (0.000, 0.000, 0.000), Cs at (0.000, 0.500, 0.501) and As at (0.500, 0.500, 0.002).

---

No. 3
Material: CsCu3As2
Method: DFT, PBE-GGA
State: relaxed

The uncorrected energy is -93.47 eV per cell. For the magnetic moment, the calculation gives 0.000 μB per atom.

The space group is C2/m (No. 12) and the conventional cell measures 15.599, 3.965 and 9.032 Å, with angles of 90.00, 109.98 and 90.00 degrees. The inequivalent atoms are Cs at (0.141, 0.000, 0.043), Cu at (0.051, 0.000, 0.411), Cu at (0.084, 0.500, 0.612), Cu at (0.186, 0.500, 0.450), As at (0.027, 0.500, 0.254) and As at (0.190, 0.000, 0.649).

---

No. 4
Material: Cs4CuAs2
Method: DFT, PBE-GGA
State: relaxed

The uncorrected energy is -56.96 eV per cell. For the magnetic moment, the calculation gives 0.148 μB per atom.

The space group is R-3m (No. 166, hexagonal axes) and the conventional cell measures 6.2460, 6.2460 and 28.6585 Å, with angles of 90.00, 90.00 and 120.00 degrees. The inequivalent atoms are Cs at (0.0000, 0.0000, 0.1260), Cs at (0.0000, 0.0000, 0.2916), Cu at (0.0000, 0.0000, 0.5000) and As at (0.0000, 0.0000, 0.4200).